This record from Alexandria describes crystalline CdBAsW2 at its relaxed geometry. The functional is GGA-PBE.

The structure belongs to space group P4/mmm (No. 123); the cell edges are 5.103, 5.103 and 4.870 Å and the angles 90.00°, 90.00° and 90.00°. Symmetry generates all atoms from Cd at (0.000, 0.000, 0.000), B at (0.500, 0.500, 0.500), As at (0.000, 0.000, 0.500) and W at (0.000, 0.500, 0.000).

The value obtained for the density of states at the Fermi level is 1.0588 states/eV/atom. Its energy of formation is 17.21 eV per formula unit.



This record from Alexandria describes crystalline CeBAs at its relaxed geometry. The functional is GGA-PBE.

The structure belongs to space group P4/nmm (No. 129, origin choice 2); the cell edges are 3.954, 3.954 and 7.564 Å and the angles 90.00°, 90.00° and 90.00°. Symmetry generates all atoms from Ce at (0.250, 0.250, 0.190), B at (0.250, 0.250, 0.851) and As at (0.250, 0.250, 0.595).

The value obtained for the density of states at the Fermi level is 1.3250 states/eV/atom. Its energy of formation is -0.81 eV per formula unit.



This record from Alexandria describes crystalline CeBAs2O8 at its relaxed geometry. The functional is GGA-PBE.

The structure belongs to space group P-3m1 (No. 164); the cell edges are 5.1882, 5.1882 and 6.4173 Å and the angles 90.00°, 90.00° and 120.00°. Symmetry generates all atoms from Ce at (0.0000, 0.0000, 0.0000), B at (0.0000, 0.0000, 0.5000), As at (0.3333, 0.6667, 0.2693), O at (0.1473, 0.2946, 0.3325) and O at (0.3333, 0.6667, 0.0036).

The value obtained for the density of states at the Fermi level is 0.5814 states/eV/atom. For the formation energy (no corrections), the calculation gives -1.53 eV/atom.



This record from Alexandria describes crystalline Ce3BAs2Rh8 at its relaxed geometry. The functional is GGA-PBE.

The structure belongs to space group P-3m1 (No. 164); the cell edges are 5.4336, 5.4336 and 9.2537 Å and the angles 90.00°, 90.00° and 120.00°. Symmetry generates all atoms from Ce at (0.0000, 0.0000, 0.0000), Ce at (0.3333, 0.6667, 0.5586), B at (0.0000, 0.0000, 0.5000), As at (0.3333, 0.6667, 0.0988), Rh at (0.1622, 0.3243, 0.2996) and Rh at (0.3333, 0.6667, 0.8350).

The value obtained for the density of states at the Fermi level is 0.7086 states/eV/atom. Its energy of formation is -8.29 eV per formula unit.



This record from Alexandria describes crystalline Ce2BAsRh6 at its relaxed geometry. The functional is GGA-PBE.

The structure belongs to space group P4/mmm (No. 123); the cell edges are 4.476, 4.476 and 8.764 Å and the angles 90.00°, 90.00° and 90.00°. Symmetry generates all atoms from Ce at (0.000, 0.000, 0.237), B at (0.500, 0.500, 0.000), As at (0.500, 0.500, 0.500), Rh at (0.000, 0.500, 0.000), Rh at (0.000, 0.500, 0.500) and Rh at (0.500, 0.500, 0.228).

The value obtained for the density of states at the Fermi level is 1.3615 states/eV/atom. Its energy of formation is -4.97 eV per formula unit.



This record from Alexandria describes crystalline BAs2Cl at its relaxed geometry. The functional is GGA-PBE.

The structure belongs to space group I-42d (No. 122); the cell edges are 5.967, 5.967 and 9.246 Å and the angles 90.00°, 90.00° and 90.00°. Symmetry generates all atoms from B at (0.000, 0.000, 0.000), As at (0.150, 0.250, 0.125) and Cl at (0.000, 0.000, 0.500).

The value obtained for the density of states at the Fermi level is 0.2796 states/eV/atom. For the formation energy (no corrections), the calculation gives 0.45 eV/atom.



This record from Alexandria describes crystalline BAs3Cl at its relaxed geometry. The functional is GGA-PBE.

The structure belongs to space group Pm-3m (No. 221); the cell edges are 4.508, 4.508 and 4.508 Å and the angles 90.00°, 90.00° and 90.00°. Symmetry generates all atoms from B at (0.000, 0.000, 0.000), As at (0.000, 0.000, 0.500) and Cl at (0.500, 0.500, 0.500).

The value obtained for the density of states at the Fermi level is 0.8193 states/eV/atom. For the formation energy (no corrections), the calculation gives 0.81 eV/atom.



This record from Alexandria describes crystalline B3AsCl at its relaxed geometry. The functional is GGA-PBE.

The structure belongs to space group Pm-3m (No. 221); the cell edges are 3.943, 3.943 and 3.943 Å and the angles 90.00°, 90.00° and 90.00°. Symmetry generates all atoms from B at (0.000, 0.000, 0.500), As at (0.500, 0.500, 0.500) and Cl at (0.000, 0.000, 0.000).

The value obtained for the density of states at the Fermi level is 0.4036 states/eV/atom. For the formation energy (no corrections), the calculation gives 2.29 eV/atom.



This record from Alexandria describes crystalline B2AsCl at its relaxed geometry. The functional is GGA-PBE.

The structure belongs to space group I-42d (No. 122); the cell edges are 5.322, 5.322 and 8.946 Å and the angles 90.00°, 90.00° and 90.00°. Symmetry generates all atoms from B at (0.196, 0.250, 0.125), As at (0.000, 0.000, 0.000) and Cl at (0.000, 0.000, 0.500).

The value obtained for the density of states at the Fermi level is 0.4892 states/eV/atom. For the formation energy (no corrections), the calculation gives 1.04 eV/atom.



This record from Alexandria describes crystalline BAsCl at its relaxed geometry. The functional is GGA-PBE.

The structure belongs to space group P2_1 (No. 4); the cell edges are 3.460, 5.812 and 5.461 Å and the angles 90.00°, 101.89° and 90.00°. Symmetry generates all atoms from B at (0.228, 0.000, 0.422), As at (0.214, 0.362, 0.411) and Cl at (0.246, 0.884, 0.102).

The value obtained for the density of states at the Fermi level is 0.2789 states/eV/atom. For the formation energy (no corrections), the calculation gives 0.00 eV/atom.



This record from Alexandria describes crystalline BAs3Cl at its relaxed geometry. The functional is GGA-PBE.

The structure belongs to space group Pm-3m (No. 221); the cell edges are 4.891, 4.891 and 4.891 Å and the angles 90.00°, 90.00° and 90.00°. Symmetry generates all atoms from B at (0.000, 0.000, 0.000), As at (0.000, 0.500, 0.500) and Cl at (0.500, 0.500, 0.500).

The value obtained for the density of states at the Fermi level is 1.4122 states/eV/atom. For the formation energy (no corrections), the calculation gives 1.92 eV/atom.



This record from Alexandria describes crystalline B3AsCl at its relaxed geometry. The functional is GGA-PBE.

The structure belongs to space group Pm-3m (No. 221); the cell edges are 4.273, 4.273 and 4.273 Å and the angles 90.00°, 90.00° and 90.00°. Symmetry generates all atoms from B at (0.000, 0.000, 0.500), As at (0.000, 0.000, 0.000) and Cl at (0.500, 0.500, 0.500).

The value obtained for the density of states at the Fermi level is 0.3454 states/eV/atom. For the formation energy (no corrections), the calculation gives 1.87 eV/atom.



Looking at total magnetization for the records above, in order, we have 5.302, 0.000, 0.956, 0.327, 1.602, 0.000, 0.000, 0.000, 0.000, 0.000, 0.000, 0.000 μB per cell.